1.
The following is a PBE calculation of a geometry-optimized Ga2FeTc structure, from Alexandria.

Structure (POSCAR):
```
Ga2FeTc
1.0
-0.159 -2.280 1.647
1.646 -0.211 2.277
-5.300 2.848 5.839
Ga Fe Tc
2 1 1
Direct
0.248 0.248 0.257
0.086 0.086 0.743
0.500 0.500 0.499
0.666 0.666 0.001
```

Output
**SG**: No. 160
**E**: -6.2544 eV/atom
**Energy of formation from the pure elements**: -0.03 eV per atom
**Energy relative to the lowest polymorph listed for this composition**: 0.14 eV/f.u.

2.
The following is a PBE calculation of a geometry-optimized VRh2PbI structure, from Alexandria.

Structure (POSCAR):
```
VRh2PbI
1.0
-0.980 -0.194 -4.595
0.696 -5.053 0.065
-4.554 -0.615 0.997
I Pb V Rh
1 1 1 2
Direct
0.000 0.500 0.000
0.500 0.500 0.500
0.000 0.000 0.000
0.000 0.000 0.500
0.500 0.000 0.000
```

Output
**SG**: No. 123
**E**: -5.2150 eV/atom
**Raw formation energy**: 13.9 kcal/mol of atoms

3.
The following is a PBE calculation of a geometry-optimized CeMgSbPd structure, from Alexandria.

Structure (POSCAR):
```
CeMgSbPd
1.0
-0.697 -3.924 3.129
-0.935 -4.610 -1.886
3.517 -3.634 0.330
Mg Sb Ce Pd
1 1 1 1
Direct
0.500 0.500 0.500
0.250 0.250 0.250
0.000 0.000 0.000
0.750 0.750 0.750
```

Output
**SG**: No. 216
**E**: -4.7994 eV/atom
**Raw formation energy**: -13.6 kcal/mol of atoms

4.
The following is a PBE calculation of a geometry-optimized Sr2TcAu structure, from Alexandria.

Structure (POSCAR):
```
Sr2TcAu
1.0
-2.820 -0.825 -2.203
2.273 -0.067 -2.884
1.461 -8.602 1.352
Au Sr Tc
1 2 1
Direct
0.500 0.500 0.681
0.500 0.500 0.331
0.000 0.000 0.912
0.000 0.000 0.576
```

Output
**SG**: No. 99
**E**: -3.9110 eV/atom
**Energy of formation from the pure elements**: 0.34 eV per atom
**Energy relative to the lowest polymorph listed for this composition**: 0.69 eV/f.u.

5.
The following is a PBE calculation of a geometry-optimized TaMo2As structure, from Alexandria.

Structure (POSCAR):
```
TaMo2As
1.0
-4.190 1.660 -0.029
-3.306 -2.262 -2.065
-3.229 -1.991 2.433
As Ta Mo
1 1 2
Direct
0.500 0.500 0.500
0.750 0.750 0.750
0.250 0.250 0.250
0.000 0.000 0.000
```

Output
**SG**: No. 216
**E**: -9.3233 eV/atom
**Energy of formation from the pure elements**: 0.22 eV per atom

6.
The following is a PBE calculation of a geometry-optimized SrLa2BeRu structure, from Alexandria.

Structure (POSCAR):
```
SrLa2BeRu
1.0
5.508 0.000 0.000
0.000 5.508 0.000
0.000 0.000 4.832
Sr Be La Ru
1 1 2 1
Direct
0.500 0.500 0.500
0.000 0.000 0.500
0.000 0.500 0.000
0.500 0.000 0.000
0.000 0.000 0.000
```

Output
**SG**: No. 123
**E**: -4.8120 eV/atom
**Energy of formation from the pure elements**: 0.10 eV per atom